The following is a PBE calculation of a relaxed structure of Pr4Ga2Au5, from Alexandria via LeMat-Bulk.

Unit cell a=7.6962 b=3.9256 c=9.0061 alpha=90.00 beta=93.86 gamma=90.00
Element x y z (fractional)
Pr 0.2240 0.0000 0.1335
Pr 0.2728 0.0000 0.6306
Pr 0.7272 0.0000 0.3694
Pr 0.7760 0.0000 0.8665
Ga 0.0620 0.5000 0.3771
Ga 0.9380 0.5000 0.6229
Au 0.1269 0.5000 0.8764
Au 0.4007 0.5000 0.3631
Au 0.5000 0.5000 0.0000
Au 0.5993 0.5000 0.6369
Au 0.8731 0.5000 0.1236

ΔH_f (0 K) in eV per formula unit: -7.70
Symmetry: P2/m (10)
Total magnetic moment in μB per formula unit: 0.0